No. 1
VASP calculation (PBE-GGA) on a geometry-optimized Ce4Nd3Ru4 structure.

As for the crystal system: orthorhombic. The calculated formation energy is -0.27 eV/atom.

The structure belongs to space group Immm (No. 71); the cell edges are 3.6888, 9.6366 and 14.9253 Å and the angles 90.00°, 90.00° and 90.00°. The distinct sites, in fractional coordinates, are Ce at (0.0000, 0.1943, 0.1631), Nd at (0.0000, 0.0000, 0.3901), Nd at (0.0000, 0.5000, 0.5000), Ru at (0.0000, 0.2744, 0.0000) and Ru at (0.0000, 0.5000, 0.2875).

No. 2
VASP calculation (PBE-GGA) on a geometry-optimized Rb2GeAu2 structure.

As for the crystal system: tetragonal. The excess energy over the best structure of this formula in the dataset comes out at 603 meV per atom. The calculated formation energy is 0.46 eV/atom.

The structure belongs to space group I4/mmm (No. 139); the cell edges are 5.0169, 5.0169 and 14.2580 Å and the angles 90.00°, 90.00° and 90.00°. The distinct sites, in fractional coordinates, are Rb at (0.0000, 0.5000, 0.2500), Ge at (0.0000, 0.0000, 0.0000) and Au at (0.0000, 0.0000, 0.4056).

No. 3
VASP calculation (PBE-GGA) on a geometry-optimized Sr2CdIr structure.

As for the crystal system: monoclinic. The calculated formation energy is 0.01 eV/atom.

The structure belongs to space group C2/m (No. 12); the cell edges are 7.6558, 4.3720 and 8.5429 Å and the angles 90.00°, 106.89° and 90.00°. The distinct sites, in fractional coordinates, are Sr at (0.2290, 0.0000, 0.1882), Cd at (0.0000, 0.0000, 0.5000) and Ir at (0.0000, 0.5000, 0.0000).